# Ba4LaFe3O12 | Alexandria via LeMat-Bulk | GGA+U | relaxed
# Space-group type = Im-3m (229)
# Total magnetic moment = 12.2 μB per formula unit
# D(E_F) = 11.64 states/eV/f.u.
# DFT total energy = -129.70 eV for the cell shown
# Calculated volume = 14.4 Å³/atom
data_Ba4LaFe3O12
_chemical_formula_sum 'Ba4 La1 Fe3 O12'
_cell_length_a 7.206
_cell_length_b 7.206
_cell_length_c 7.206
_cell_angle_alpha 109.47
_cell_angle_beta 109.47
_cell_angle_gamma 109.47
_space_group_name_H-M_alt 'P 1'
_space_group_IT_number 1
_space_group_name_Hall 'P 1'
loop_
_atom_site_label
_atom_site_type_symbol
_atom_site_fract_x
_atom_site_fract_y
_atom_site_fract_z
Ba1 Ba 0.000 0.000 0.500
Ba2 Ba 0.000 0.500 0.000
Ba3 Ba 0.500 0.000 0.000
Ba4 Ba 0.500 0.500 0.500
La1 La 0.000 0.000 0.000
Fe1 Fe 0.000 0.500 0.500
Fe2 Fe 0.500 0.000 0.500
Fe3 Fe 0.500 0.500 0.000
O1 O 0.000 0.276 0.276
O2 O 0.000 0.724 0.724
O3 O 0.250 0.500 0.750
O4 O 0.250 0.750 0.500
O5 O 0.276 0.000 0.276
O6 O 0.276 0.276 0.000
O7 O 0.500 0.250 0.750
O8 O 0.500 0.750 0.250
O9 O 0.724 0.000 0.724
O10 O 0.724 0.724 0.000
O11 O 0.750 0.250 0.500
O12 O 0.750 0.500 0.250